The following is a GGA-PBE calculation of a relaxed structure of TePd, from the Alexandria database.

Cell and atoms, written as POSCAR:
```
TePd
1.0
7.430 0.000 0.000
0.000 7.430 0.000
0.000 0.000 7.430
Te Pd
6 6
direct
0.000 0.250 0.500
0.000 0.750 0.500
0.250 0.500 0.000
0.500 0.000 0.250
0.500 0.000 0.750
0.750 0.500 0.000
0.000 0.500 0.250
0.000 0.500 0.750
0.250 0.000 0.500
0.500 0.250 0.000
0.500 0.750 0.000
0.750 0.000 0.500
```

***

The following is a GGA-PBE calculation of a relaxed structure of PmTmSi3, from the Alexandria database.

Cell and atoms, written as POSCAR:
```
PmTmSi3
1.0
2.095 -12.275 0.000
2.095 12.275 0.000
0.000 0.000 3.945
Pm Tm Si
2 2 6
direct
0.071 0.929 0.750
0.929 0.071 0.250
0.203 0.797 0.250
0.797 0.203 0.750
0.320 0.680 0.250
0.379 0.621 0.750
0.475 0.525 0.750
0.525 0.475 0.250
0.621 0.379 0.250
0.680 0.320 0.750
```

***

no.,mass density (g/cm³),uncorrected energy (eV per atom)
1,5.683,-4.27
2,6.518,-5.79